A plane-wave DFT calculation with PBE-GGA was carried out for a relaxed Mn2IrW crystal.

Lattice parameters (Å, degrees): 8.862 8.862 8.862 17.53 17.53 17.53
Site moments in Bohr magnetons follow the coordinates.
Sites, in units of the cell vectors:
Ir (0.750, 0.750, 0.750)  -0.25
Mn (0.003, 0.003, 0.003)  1.79
Mn (0.497, 0.497, 0.497)  1.79
W (0.250, 0.250, 0.250)  -0.12

Calculated values
Calculated volume ... 13.78 Å³ per atom
Formation enthalpy at 0 K ... 0.18 eV/atom
Total magnetic moment ... 3.303 μB per cell
SG ... R-3m



A plane-wave DFT calculation with PBE-GGA was carried out for a relaxed Mn2IrW2 crystal.

Lattice parameters (Å, degrees): 6.864 6.864 2.950 90.00 90.00 90.00
Site moments in Bohr magnetons follow the coordinates.
Sites, in units of the cell vectors:
Mn (0.375, 0.875, 0.000)  0.86
Mn (0.875, 0.625, 0.000)  0.87
Mn (0.625, 0.125, 0.000)  0.86
Mn (0.125, 0.375, 0.000)  0.87
Ir (0.000, 0.000, 0.000)  0.09
Ir (0.500, 0.500, 0.000)  0.08
W (0.178, 0.678, 0.500)  -0.10
W (0.678, 0.822, 0.500)  -0.09
W (0.822, 0.322, 0.500)  -0.10
W (0.322, 0.178, 0.500)  -0.09

Calculated values
Calculated volume ... 13.90 Å³ per atom
Formation enthalpy at 0 K ... 0.16 eV/atom
Total magnetic moment ... 3.365 μB per cell
SG ... P4/mbm



A plane-wave DFT calculation with PBE-GGA was carried out for a relaxed Mn2IrW crystal.

Lattice parameters (Å, degrees): 4.570 4.570 4.675 80.44 80.44 34.06
Site moments in Bohr magnetons follow the coordinates.
Sites, in units of the cell vectors:
Ir (0.250, 0.250, 0.250)  -0.07
Mn (0.995, 0.995, 0.013)  1.02
Mn (0.505, 0.505, 0.487)  1.02
W (0.750, 0.750, 0.750)  -0.18

Calculated values
Calculated volume ... 13.46 Å³ per atom
Formation enthalpy at 0 K ... 0.06 eV/atom
Total magnetic moment ... 1.813 μB per cell
SG ... C2/m



A plane-wave DFT calculation with PBE-GGA was carried out for a relaxed Mn2IrW crystal.

Lattice parameters (Å, degrees): 2.736 3.707 5.410 90.00 90.00 90.00
Site moments in Bohr magnetons follow the coordinates.
Sites, in units of the cell vectors:
Ir (0.500, 0.500, 0.756)  -0.06
Mn (0.000, 0.000, 0.015)  2.24
Mn (0.500, 0.500, 0.230)  -2.08
W (0.000, 0.000, 0.499)  0.08

Calculated values
Calculated volume ... 13.72 Å³ per atom
Formation enthalpy at 0 K ... -0.04 eV/atom
Total magnetic moment ... 0.184 μB per cell
SG ... Pmm2



A plane-wave DFT calculation with PBE-GGA was carried out for a relaxed Mn2IrW crystal.

Lattice parameters (Å, degrees): 4.069 2.671 5.066 74.70 90.00 90.00
Site moments in Bohr magnetons follow the coordinates.
Sites, in units of the cell vectors:
Ir (0.500, 0.801, 0.772)  0.00
Mn (0.000, 0.181, 0.011)  1.20
Mn (0.500, 0.073, 0.230)  -0.98
W (0.000, 0.445, 0.487)  0.04

Calculated values
Calculated volume ... 13.28 Å³ per atom
Formation enthalpy at 0 K ... -0.01 eV/atom
Total magnetic moment ... 0.279 μB per cell
SG ... Amm2



A plane-wave DFT calculation with PBE-GGA was carried out for a relaxed Mn2IrW crystal.

Lattice parameters (Å, degrees): 3.646 3.646 9.301 78.70 78.70 90.00
Sites, in units of the cell vectors:
Mn (0.698, 0.125, 0.250)
Mn (0.052, 0.625, 0.250)
Mn (0.375, 0.302, 0.750)
Mn (0.875, 0.948, 0.750)
Ir (0.000, 0.000, 0.000)
Ir (0.750, 0.250, 0.500)
W (0.500, 0.500, 0.000)
W (0.250, 0.750, 0.500)

Calculated values
Calculated volume ... 14.85 Å³ per atom
Formation enthalpy at 0 K ... 0.70 eV/atom
Total magnetic moment ... 0.008 μB per cell
SG ... I-42d



A plane-wave DFT calculation with PBE-GGA was carried out for a relaxed Mn2IrW crystal.

Lattice parameters (Å, degrees): 4.287 4.287 4.287 60.00 60.00 60.00
Site moments in Bohr magnetons follow the coordinates.
Sites, in units of the cell vectors:
Ir (0.500, 0.500, 0.500)  0.31
Mn (0.000, 0.000, 0.000)  1.21
Mn (0.250, 0.250, 0.250)  3.28
W (0.750, 0.750, 0.750)  -0.15

Calculated values
Calculated volume ... 13.93 Å³ per atom
Formation enthalpy at 0 K ... 0.00 eV/atom
Total magnetic moment ... 4.743 μB per cell
SG ... F-43m



A plane-wave DFT calculation with PBE-GGA was carried out for a relaxed Mn2IrW crystal.

Lattice parameters (Å, degrees): 8.760 8.760 8.760 18.10 18.10 18.10
Site moments in Bohr magnetons follow the coordinates.
Sites, in units of the cell vectors:
Ir (0.748, 0.748, 0.748)  -0.11
Mn (0.997, 0.997, 0.997)  2.60
Mn (0.256, 0.256, 0.256)  -2.48
W (0.500, 0.500, 0.500)  -0.01

Calculated values
Calculated volume ... 14.16 Å³ per atom
Formation enthalpy at 0 K ... 0.13 eV/atom
Total magnetic moment ... 0.002 μB per cell
SG ... R3m



A plane-wave DFT calculation with PBE-GGA was carried out for a relaxed MnIr4W crystal.

Lattice parameters (Å, degrees): 5.120 5.120 5.120 60.00 60.00 60.00
Site moments in Bohr magnetons follow the coordinates.
Sites, in units of the cell vectors:
Mn (0.750, 0.750, 0.750)  3.74
Ir (0.874, 0.375, 0.375)  0.14
Ir (0.375, 0.375, 0.874)  0.14
Ir (0.375, 0.874, 0.375)  0.14
Ir (0.375, 0.375, 0.375)  0.14
W (0.000, 0.000, 0.000)  -0.36

Calculated values
Calculated volume ... 15.82 Å³ per atom
Formation enthalpy at 0 K ... 0.28 eV/atom
Total magnetic moment ... 4.022 μB per cell
SG ... F-43m



A plane-wave DFT calculation with PBE-GGA was carried out for a relaxed MnIrW3 crystal.

Lattice parameters (Å, degrees): 4.406 4.406 4.406 90.00 90.00 90.00
Sites, in units of the cell vectors:
Mn (0.000, 0.000, 0.000)
Ir (0.500, 0.500, 0.500)
W (0.000, 0.500, 0.000)
W (0.000, 0.000, 0.500)
W (0.500, 0.000, 0.000)

Calculated values
Calculated volume ... 17.11 Å³ per atom
Formation enthalpy at 0 K ... 1.31 eV/atom
Total magnetic moment ... 0.000 μB per cell
SG ... Pm-3m



A plane-wave DFT calculation with PBE-GGA was carried out for a relaxed Mn2IrW crystal.

Lattice parameters (Å, degrees): 2.652 2.652 7.708 90.00 90.00 90.03
Site moments in Bohr magnetons follow the coordinates.
Sites, in units of the cell vectors:
Ir (0.500, 0.500, 0.750)  -0.18
Mn (0.000, 0.000, 0.986)  1.61
Mn (0.000, 0.000, 0.514)  1.61
W (0.500, 0.500, 0.250)  -0.17

Calculated values
Calculated volume ... 13.55 Å³ per atom
Formation enthalpy at 0 K ... 0.05 eV/atom
Total magnetic moment ... 2.952 μB per cell
SG ... P4/mmm



A plane-wave DFT calculation with PBE-GGA was carried out for a relaxed Mn2IrW crystal.

Lattice parameters (Å, degrees): 2.681 3.681 5.435 90.00 90.00 90.00
Site moments in Bohr magnetons follow the coordinates.
Sites, in units of the cell vectors:
Ir (0.500, 0.500, 0.750)  -0.11
Mn (0.000, 0.000, 0.991)  1.42
Mn (0.000, 0.000, 0.509)  1.42
W (0.500, 0.500, 0.250)  -0.32

Calculated values
Calculated volume ... 13.41 Å³ per atom
Formation enthalpy at 0 K ... 0.02 eV/atom
Total magnetic moment ... 2.471 μB per cell
SG ... Pmmm



A plane-wave DFT calculation with PBE-GGA was carried out for a relaxed YMn4Ir crystal.

Lattice parameters (Å, degrees): 4.882 4.882 4.882 60.00 60.00 60.00
Sites, in units of the cell vectors:
Y (0.750, 0.750, 0.750)
Mn (0.870, 0.377, 0.377)
Mn (0.377, 0.377, 0.870)
Mn (0.377, 0.870, 0.377)
Mn (0.377, 0.377, 0.377)
Ir (0.000, 0.000, 0.000)

Calculated values
Calculated volume ... 13.71 Å³ per atom
Formation enthalpy at 0 K ... 0.13 eV/atom
Total magnetic moment ... 0.002 μB per cell
SG ... F-43m



A plane-wave DFT calculation with PBE-GGA was carried out for a relaxed YMnIr crystal.

Lattice parameters (Å, degrees): 4.216 4.216 3.898 90.00 90.00 120.00
Site moments in Bohr magnetons follow the coordinates.
Sites, in units of the cell vectors:
Ir (0.000, 0.000, 0.167)  0.18
Mn (0.667, 0.333, 0.166)  2.91
Y (0.333, 0.667, 0.667)  -0.07

Calculated values
Calculated volume ... 20.00 Å³ per atom
Formation enthalpy at 0 K ... -0.33 eV/atom
Total magnetic moment ... 3.139 μB per cell
SG ... P-6m2



A plane-wave DFT calculation with PBE-GGA was carried out for a relaxed YMn2Ir crystal.

Lattice parameters (Å, degrees): 4.621 4.621 4.621 120.20 120.20 89.66
Site moments in Bohr magnetons follow the coordinates.
Sites, in units of the cell vectors:
Ir (0.750, 0.250, 0.500)  0.34
Mn (0.000, 0.000, 0.000)  3.80
Mn (0.250, 0.750, 0.500)  -3.32
Y (0.500, 0.500, 0.000)  0.10

Calculated values
Calculated volume ... 17.39 Å³ per atom
Formation enthalpy at 0 K ... -0.06 eV/atom
Total magnetic moment ... 1.118 μB per cell
SG ... I-4m2



A plane-wave DFT calculation with PBE-GGA was carried out for a relaxed YMn2Ir2 crystal.

Lattice parameters (Å, degrees): 4.145 4.145 5.960 69.65 69.65 90.00
Site moments in Bohr magnetons follow the coordinates.
Sites, in units of the cell vectors:
Y (0.000, 0.000, 0.000)  -0.01
Ir (0.381, 0.381, 0.237)  -0.05
Ir (0.619, 0.619, 0.763)  -0.05
Mn (0.750, 0.250, 0.500)  2.79
Mn (0.250, 0.750, 0.500)  2.79

Calculated values
Calculated volume ... 17.83 Å³ per atom
Formation enthalpy at 0 K ... -0.29 eV/atom
Total magnetic moment ... 5.769 μB per cell
SG ... I4/mmm



A plane-wave DFT calculation with PBE-GGA was carried out for a relaxed YMn2Ir crystal.

Lattice parameters (Å, degrees): 4.460 4.460 5.162 72.22 72.22 48.66
Sites, in units of the cell vectors:
Ir (0.250, 0.250, 0.250)
Mn (0.973, 0.973, 0.159)
Mn (0.527, 0.527, 0.341)
Y (0.750, 0.750, 0.750)

Calculated values
Calculated volume ... 18.16 Å³ per atom
Formation enthalpy at 0 K ... 0.06 eV/atom
Total magnetic moment ... 0.000 μB per cell
SG ... C2/m



A plane-wave DFT calculation with PBE-GGA was carried out for a relaxed YMn2Ir crystal.

Lattice parameters (Å, degrees): 3.204 3.204 6.904 90.00 90.00 90.00
Site moments in Bohr magnetons follow the coordinates.
Sites, in units of the cell vectors:
Ir (0.500, 0.500, 0.750)  0.45
Mn (0.000, 0.000, 0.949)  3.41
Mn (0.000, 0.000, 0.551)  3.41
Y (0.500, 0.500, 0.250)  -0.36

Calculated values
Calculated volume ... 17.72 Å³ per atom
Formation enthalpy at 0 K ... 0.11 eV/atom
Total magnetic moment ... 7.033 μB per cell
SG ... P4/mmm



A plane-wave DFT calculation with PBE-GGA was carried out for a relaxed YMn2Ir crystal.

Lattice parameters (Å, degrees): 4.584 4.584 4.584 60.00 60.00 60.00
Site moments in Bohr magnetons follow the coordinates.
Sites, in units of the cell vectors:
Y (0.000, 0.000, 0.000)  -0.01
Ir (0.500, 0.500, 0.500)  0.38
Mn (0.250, 0.250, 0.250)  3.43
Mn (0.750, 0.750, 0.750)  3.43

Calculated values
Calculated volume ... 17.03 Å³ per atom
Formation enthalpy at 0 K ... 0.04 eV/atom
Total magnetic moment ... 7.424 μB per cell
SG ... Fm-3m



A plane-wave DFT calculation with PBE-GGA was carried out for a relaxed YMnIr crystal.

Lattice parameters (Å, degrees): 5.616 5.616 5.616 144.85 144.85 50.55
Site moments in Bohr magnetons follow the coordinates.
Sites, in units of the cell vectors:
Ir (0.980, 0.980, 0.000)  0.44
Mn (0.364, 0.364, 0.000)  3.78
Y (0.656, 0.656, 0.000)  0.05

Calculated values
Calculated volume ... 19.47 Å³ per atom
Formation enthalpy at 0 K ... -0.15 eV/atom
Total magnetic moment ... 4.575 μB per cell
SG ... I4mm